This record from Alexandria describes a relaxed CsMnF3 crystal. The functional is PBE+U.

POSCAR file:
```
CsMnF3
1.0
21.022 0.000 0.152
7.766 2.108 -2.509
-7.766 2.108 2.509
Cs Mn F
2 2 6
direct
0.270 0.123 0.877 Cs
0.730 0.877 0.123 Cs
0.836 0.000 0.000 Mn
0.164 0.000 0.000 Mn
0.587 0.234 0.766 F
0.869 0.080 0.920 F
0.413 0.766 0.234 F
0.912 0.394 0.606 F
0.131 0.920 0.080 F
0.088 0.606 0.394 F
```

Output
Spin magnetization in μB/cell: 10.0
Total DFT energy (no corrections) in eV/cell: -54.6